# 1
Density functional theory data (PBE) for PuScW4 after structural relaxation.

Its total magnetic moment is 5.16 μB/f.u. For the energy of formation, the calculation gives 0.2606 eV/atom.

It has space group F-43m (No. 216), with a = 7.722 Å, b = 7.722 Å, c = 7.722 Å, α = 90.00°, β = 90.00° and γ = 90.00°. The inequivalent atoms are Pu at (0.000, 0.000, 0.000), Sc at (0.250, 0.250, 0.750) and W at (0.125, 0.125, 0.375).


# 2
Density functional theory data (PBE) for YPu2Sc after structural relaxation.

The value obtained for the polymorph energy (0 for the lowest one) is 0.077 eV/f.u. Its total magnetic moment is 12.36 μB/f.u. For the energy of formation, the calculation gives 0.1835 eV/atom.

It has space group P4/mmm (No. 123), with a = 4.666 Å, b = 4.666 Å, c = 4.991 Å, α = 90.00°, β = 90.00° and γ = 90.00°. The inequivalent atoms are Y at (0.000, 0.000, 0.000), Pu at (0.000, 0.500, 0.500) and Sc at (0.500, 0.500, 0.000).


# 3
Density functional theory data (PBE) for YPuSc6 after structural relaxation.

Its total magnetic moment is 7.05 μB/f.u. For the energy of formation, the calculation gives 0.0493 eV/atom.

It has space group P-6m2 (No. 187), with a = 6.6751 Å, b = 6.6751 Å, c = 5.2983 Å, α = 90.00°, β = 90.00° and γ = 120.00°. The inequivalent atoms are Y at (0.0000, 0.0000, 0.0000), Pu at (0.3333, 0.6667, 0.5000), Sc at (0.0012, 0.5006, 0.0000) and Sc at (0.3400, 0.1700, 0.5000).


# 4
Density functional theory data (PBE) for YPu2Sc after structural relaxation.

The value obtained for the polymorph energy (0 for the lowest one) is 0.000 eV/f.u. Its total magnetic moment is 0.13 μB/f.u. For the energy of formation, the calculation gives 0.1642 eV/atom.

It has space group R3m (No. 160, hexagonal axes), with a = 3.3954 Å, b = 3.3954 Å, c = 33.1505 Å, α = 90.00°, β = 90.00° and γ = 120.00°. The inequivalent atoms are Y at (0.0000, 0.0000, 0.0000), Pu at (0.0000, 0.0000, 0.4204), Pu at (0.0000, 0.0000, 0.5801) and Sc at (0.0000, 0.0000, 0.1670).


# 5
Density functional theory data (PBE) for YPuSc14 after structural relaxation.

Its total magnetic moment is 5.05 μB/f.u. For the energy of formation, the calculation gives 0.0169 eV/atom.

It has space group Amm2 (No. 38), with a = 10.393 Å, b = 6.666 Å, c = 11.512 Å, α = 90.00°, β = 90.00° and γ = 90.00°. The inequivalent atoms are Y at (0.000, 0.000, 0.000), Pu at (0.000, 0.000, 0.499), Sc at (0.000, 0.249, 0.252), Sc at (0.248, 0.000, 0.666), Sc at (0.254, 0.246, 0.417), Sc at (0.257, 0.000, 0.169), Sc at (0.500, 0.000, 0.001), Sc at (0.500, 0.000, 0.501) and Sc at (0.500, 0.250, 0.250).


# 6
Density functional theory data (PBE) for Y3PuSc8 after structural relaxation.

Its total magnetic moment is 3.38 μB/f.u. For the energy of formation, the calculation gives 0.5898 eV/atom.

It has space group I-42m (No. 121), with a = 8.177 Å, b = 8.177 Å, c = 10.551 Å, α = 90.00°, β = 90.00° and γ = 90.00°. The inequivalent atoms are Y at (0.000, 0.000, 0.000), Y at (0.000, 0.500, 0.250), Pu at (0.000, 0.000, 0.500), Sc at (0.124, 0.124, 0.730) and Sc at (0.224, 0.224, 0.463).


# 7
Density functional theory data (PBE) for YPuSc4 after structural relaxation.

The value obtained for the polymorph energy (0 for the lowest one) is 0.000 eV/f.u. Its total magnetic moment is 5.76 μB/f.u. For the energy of formation, the calculation gives 0.0913 eV/atom.

It has space group P6/mmm (No. 191), with a = 5.2853 Å, b = 5.2853 Å, c = 6.3658 Å, α = 90.00°, β = 90.00° and γ = 120.00°. The inequivalent atoms are Y at (0.0000, 0.0000, 0.0000), Pu at (0.0000, 0.0000, 0.5000) and Sc at (0.3333, 0.6667, 0.2527).


# 8
Density functional theory data (PBE) for YPu2Sc after structural relaxation.

The value obtained for the polymorph energy (0 for the lowest one) is 0.065 eV/f.u. Its total magnetic moment is 12.46 μB/f.u. For the energy of formation, the calculation gives 0.1805 eV/atom.

It has space group P4/mmm (No. 123), with a = 3.315 Å, b = 3.315 Å, c = 9.911 Å, α = 90.00°, β = 90.00° and γ = 90.00°. The inequivalent atoms are Y at (0.000, 0.000, 0.000), Pu at (0.500, 0.500, 0.263) and Sc at (0.000, 0.000, 0.500).